(1)
A plane-wave DFT calculation with PBE was carried out for a geometry-optimized Ce4As5Rh structure.

a = 4.1590 Å, b = 4.1590 Å, c = 16.0725 Å
α = 82.57°, β = 82.57°, γ = 60.00°
Each line ends with the local moment (μB).
Positions (direct):
1 Ce 0.7031 0.7031 0.8908  0.68
2 Ce 0.1102 0.1102 0.6694  0.71
3 As 0.8119 0.8119 0.5643  0.01
4 As 0.5932 0.5932 0.2205  -0.03
5 As 0.0000 0.0000 0.0000  -0.03
6 As 0.1881 0.1881 0.4357  0.01
7 Ce 0.2969 0.2969 0.1092  0.68
8 As 0.4068 0.4068 0.7795  -0.03
9 Ce 0.8898 0.8898 0.3306  0.71
10 Rh 0.5000 0.5000 0.5000  0.13

total DFT energy (no corrections)	-66.5	eV per cell
Fermi-level density of states	2.26	states/eV/atom
symmetry	No. 166

---

(2)
A plane-wave DFT calculation with PBE was carried out for a geometry-optimized Ce3As2Rh structure.

a = 4.0974 Å, b = 5.9333 Å, c = 7.2894 Å
α = 114.02°, β = 106.32°, γ = 90.00°
Each line ends with the local moment (μB).
Positions (direct):
1 Ce 0.0000 0.0000 0.0000  0.75
2 Ce 0.3433 0.3433 0.6866  0.65
3 As 0.3272 0.8272 0.6543  -0.03
4 Rh 0.0000 0.5000 0.0000  -0.09
5 As 0.6728 0.1728 0.3457  -0.03
6 Ce 0.6567 0.6567 0.3134  0.65

total DFT energy (no corrections)	-40.9	eV per cell
Fermi-level density of states	2.56	states/eV/atom
symmetry	No. 71

---

(3)
A plane-wave DFT calculation with PBE was carried out for a geometry-optimized CeAsRh2 structure.

a = 4.0961 Å, b = 5.8039 Å, c = 4.4252 Å
α = 130.98°, β = 95.30°, γ = 90.00°
Positions (direct):
1 Rh 0.9510 0.7838 0.5675
2 As 0.5000 0.0000 0.0000
3 Rh 0.0490 0.2162 0.4325
4 Ce 0.5000 0.5000 0.0000

total DFT energy (no corrections)	-27.5	eV per cell
Fermi-level density of states	1.02	states/eV/atom
symmetry	No. 12

---

(4)
A plane-wave DFT calculation with PBE was carried out for a geometry-optimized CeAsRh2 structure.

a = 5.8569 Å, b = 4.3098 Å, c = 8.2272 Å
α = 90.00°, β = 135.40°, γ = 90.00°
Positions (direct):
1 Ce 0.1238 0.7500 0.2501
2 Ce 0.8762 0.2500 0.7499
3 Rh 0.3588 0.7500 0.0094
4 Rh 0.8405 0.7500 0.4910
5 As 0.5360 0.2500 0.2500
6 Rh 0.6412 0.2500 0.9906
7 As 0.4640 0.7500 0.7500
8 Rh 0.1595 0.2500 0.5090

total DFT energy (no corrections)	-57.0	eV per cell
Fermi-level density of states	1.03	states/eV/atom
symmetry	No. 59

---

(5)
A plane-wave DFT calculation with PBE was carried out for a geometry-optimized Ce2As3Rh5 structure.

a = 4.1928 Å, b = 6.8333 Å, c = 12.5485 Å
α = 90.00°, β = 99.62°, γ = 90.00°
Positions (direct):
1 Ce 0.1748 0.7432 0.3497
2 Rh 0.2939 0.9017 0.5878
3 Rh 0.9457 0.1137 0.8914
4 Rh 0.4023 0.3729 0.8047
5 Rh 0.0543 0.6137 0.1086
6 As 0.3888 0.0032 0.7775
7 As 0.9442 0.5004 0.8883
8 Rh 0.1271 0.2808 0.2542
9 As 0.0558 0.0004 0.1117
10 Rh 0.5977 0.8729 0.1953
11 Ce 0.4845 0.7685 0.9689
12 As 0.7757 0.6890 0.5515
13 Ce 0.8252 0.2432 0.6503
14 As 0.6112 0.5032 0.2225
15 Ce 0.5155 0.2685 0.0311
16 Rh 0.7203 0.9913 0.4407
17 As 0.2243 0.1890 0.4485
18 Rh 0.7061 0.4017 0.4122
19 Rh 0.8729 0.7808 0.7458
20 Rh 0.2797 0.4913 0.5593

total DFT energy (no corrections)	-140.8	eV per cell
Fermi-level density of states	0.81	states/eV/atom
symmetry	No. 36

---

(6)
A plane-wave DFT calculation with PBE was carried out for a geometry-optimized CeAs2Rh5 structure.

a = 3.9245 Å, b = 6.3059 Å, c = 6.3059 Å
α = 67.47°, β = 71.87°, γ = 71.87°
Each line ends with the local moment (μB).
Positions (direct):
1 As 0.7542 0.7458 0.7458  0.00
2 Rh 0.6420 0.5578 0.1583  -0.02
3 Rh 0.6420 0.1583 0.5578  -0.02
4 Ce 0.0000 0.0000 0.0000  0.22
5 As 0.2458 0.2542 0.2542  0.00
6 Rh 0.3580 0.4422 0.8417  -0.02
7 Rh 0.3580 0.8417 0.4422  -0.02
8 Rh 0.0000 0.5000 0.5000  -0.01

total DFT energy (no corrections)	-57.2	eV per cell
Fermi-level density of states	0.70	states/eV/atom
symmetry	No. 71

---

(7)
A plane-wave DFT calculation with PBE was carried out for a geometry-optimized Ce2As4Rh structure.

a = 4.1083 Å, b = 4.1083 Å, c = 9.2066 Å
α = 90.00°, β = 90.00°, γ = 90.00°
Positions (direct):
1 As 0.5000 0.5000 0.5000
2 As 0.0000 0.5000 0.8556
3 Ce 0.0000 0.5000 0.2449
4 As 0.5000 0.0000 0.1444
5 Ce 0.5000 0.0000 0.7551
6 As 0.0000 0.0000 0.5000
7 Rh 0.5000 0.5000 0.0000

total DFT energy (no corrections)	-44.2	eV per cell
Fermi-level density of states	1.47	states/eV/atom
symmetry	No. 115

---

(8)
A plane-wave DFT calculation with PBE was carried out for a geometry-optimized Ce3As5Rh6 structure.

a = 4.0606 Å, b = 9.8405 Å, c = 12.7071 Å
α = 90.00°, β = 90.00°, γ = 90.00°
Each line ends with the local moment (μB).
Positions (direct):
1 Rh 0.5000 0.9941 0.3329  0.02
2 As 0.0000 0.8481 0.6704  0.00
3 Rh 0.0000 0.0059 0.1671  0.02
4 Ce 0.5000 0.7500 0.1619  0.16
5 Rh 0.0000 0.4876 0.5000  -0.02
6 As 0.5000 0.1519 0.8296  0.00
7 Rh 0.5000 0.4002 0.1958  0.01
8 Rh 0.0000 0.9868 0.5000  0.02
9 As 0.0000 0.8547 0.0000  0.01
10 Rh 0.5000 0.5124 0.0000  -0.02
11 As 0.5000 0.4711 0.6188  0.00
12 As 0.0000 0.5289 0.1188  0.00
13 As 0.0000 0.8481 0.3296  0.00
14 Rh 0.5000 0.4002 0.8042  0.01
15 Rh 0.5000 0.9941 0.6671  0.02
16 Rh 0.5000 0.0132 0.0000  0.02
17 Ce 0.5000 0.7500 0.8381  0.16
18 Ce 0.0000 0.2591 0.0000  0.48
19 Ce 0.0000 0.2500 0.6619  0.16
20 As 0.5000 0.1519 0.1704  0.00
21 As 0.5000 0.1453 0.5000  0.01
22 As 0.5000 0.4711 0.3812  0.00
23 As 0.0000 0.5289 0.8812  0.00
24 Ce 0.5000 0.7409 0.5000  0.48
25 Ce 0.0000 0.2500 0.3381  0.16
26 Rh 0.0000 0.0059 0.8329  0.02
27 Rh 0.0000 0.5998 0.6958  0.01
28 Rh 0.0000 0.5998 0.3042  0.01

total DFT energy (no corrections)	-196.8	eV per cell
Fermi-level density of states	0.97	states/eV/atom
symmetry	No. 59

---

(9)
A plane-wave DFT calculation with PBE was carried out for a geometry-optimized CeAsRh3 structure.

a = 4.9359 Å, b = 7.6193 Å, c = 7.6193 Å
α = 126.08°, β = 90.00°, γ = 90.00°
Positions (direct):
1 As 0.2500 0.1623 0.8377
2 As 0.7500 0.8377 0.1623
3 Rh 0.5000 0.0000 0.0000
4 Rh 0.2500 0.7647 0.6091
5 Rh 0.2500 0.3909 0.2353
6 Rh 0.0000 0.0000 0.0000
7 Ce 0.7500 0.6155 0.3845
8 Rh 0.7500 0.6091 0.7647
9 Rh 0.7500 0.2353 0.3909
10 Ce 0.2500 0.3845 0.6155

total DFT energy (no corrections)	-67.0	eV per cell
Fermi-level density of states	1.12	states/eV/atom
distance to the lowest polymorph of the same formula	573	meV per atom
symmetry	No. 63

---

(10)
A plane-wave DFT calculation with PBE was carried out for a geometry-optimized CeAs2Rh3 structure.

a = 4.0087 Å, b = 8.4779 Å, c = 9.9212 Å
α = 107.31°, β = 90.00°, γ = 103.68°
Each line ends with the local moment (μB).
Positions (direct):
1 As 0.4585 0.9170 0.2209  0.00
2 Rh 0.5000 0.0000 0.5000  0.01
3 As 0.6374 0.2749 0.4517  0.00
4 Ce 0.0000 0.0000 0.0000  0.28
5 Rh 0.6179 0.2359 0.1973  -0.01
6 Rh 0.2206 0.4413 0.3903  -0.01
7 Rh 0.6804 0.3607 0.9611  -0.01
8 Rh 0.3196 0.6393 0.0389  -0.01
9 Ce 0.1584 0.3169 0.6976  0.33
10 As 0.3626 0.7251 0.5483  0.00
11 As 0.1955 0.3910 0.1283  0.00
12 As 0.5415 0.0830 0.7791  0.00
13 Rh 0.9580 0.9160 0.6694  0.01
14 Rh 0.0420 0.0840 0.3306  0.01
15 As 0.8045 0.6090 0.8717  0.00
16 Ce 0.8416 0.6831 0.3024  0.33
17 Rh 0.3821 0.7641 0.8027  -0.01
18 Rh 0.7794 0.5587 0.6097  -0.01

total DFT energy (no corrections)	-127.5	eV per cell
Fermi-level density of states	0.88	states/eV/atom
symmetry	No. 12

---

(11)
A plane-wave DFT calculation with PBE was carried out for a geometry-optimized CeAs3Rh5 structure.

a = 3.9814 Å, b = 6.6169 Å, c = 12.5128 Å
α = 90.00°, β = 90.00°, γ = 107.51°
Each line ends with the local moment (μB).
Positions (direct):
1 Rh 0.5585 0.1171 0.6408  -0.04
2 Rh 0.5585 0.1171 0.8592  -0.04
3 Rh 0.4415 0.8829 0.1408  -0.04
4 As 0.8874 0.7748 0.2500  0.00
5 Rh 0.2040 0.4080 0.9253  -0.03
6 As 0.1126 0.2252 0.7500  0.00
7 Rh 0.0000 0.0000 0.5000  -0.04
8 As 0.6142 0.2283 0.4522  0.00
9 Rh 0.7960 0.5920 0.0747  -0.03
10 As 0.3858 0.7717 0.9522  0.00
11 Rh 0.4415 0.8829 0.3592  -0.04
12 Rh 0.7960 0.5920 0.4253  -0.03
13 As 0.3858 0.7717 0.5478  0.00
14 Rh 0.2040 0.4080 0.5747  -0.03
15 Ce 0.1515 0.3031 0.2500  0.77
16 Rh 0.0000 0.0000 0.0000  -0.04
17 As 0.6142 0.2283 0.0478  0.00
18 Ce 0.8485 0.6969 0.7500  0.77

total DFT energy (no corrections)	-124.4	eV per cell
Fermi-level density of states	1.02	states/eV/atom
symmetry	No. 63

---

(12)
A plane-wave DFT calculation with PBE was carried out for a geometry-optimized Ce4As6Rh7 structure.

a = 7.3746 Å, b = 7.3746 Å, c = 7.3746 Å
α = 109.47°, β = 109.47°, γ = 109.47°
Each line ends with the local moment (μB).
Positions (direct):
1 Rh 0.2500 0.7500 0.5000  0.01
2 Rh 0.5000 0.2500 0.7500  0.01
3 Rh 0.5000 0.7500 0.2500  0.01
4 As 0.6832 0.0000 0.6832  0.00
5 Rh 0.7500 0.5000 0.2500  0.01
6 Ce 0.5000 0.5000 0.5000  0.52
7 Ce 0.5000 0.0000 0.0000  0.52
8 As 0.6832 0.6832 0.0000  0.00
9 As 0.0000 0.6832 0.6832  0.00
10 As 0.3168 0.0000 0.3168  0.00
11 As 0.0000 0.3168 0.3168  0.00
12 Rh 0.0000 0.0000 0.0000  0.07
13 As 0.3168 0.3168 0.0000  0.00
14 Rh 0.7500 0.2500 0.5000  0.01
15 Ce 0.0000 0.5000 0.0000  0.52
16 Ce 0.0000 0.0000 0.5000  0.52
17 Rh 0.2500 0.5000 0.7500  0.01

total DFT energy (no corrections)	-119.0	eV per cell
Fermi-level density of states	1.45	states/eV/atom
symmetry	No. 229